1.
Crystalline Ca2DyHg4 at its relaxed geometry, computed with PBE.

a b c (Å): 7.3151 7.3151 7.6216
angles (deg): 90.00 90.00 90.00
With the nearest neighbours (Å) after each atom.
Space group I4/mmm (No. 139)
Unique sites:
Ca (0.0000, 0.5000, 0.0000) [4 per cell]  8 Hg 3.21
Dy (0.0000, 0.0000, 0.0000) [2 per cell]  8 Hg 3.21
Hg (0.2500, 0.2500, 0.2500) [8 per cell]  2 Dy 3.21, 4 Ca 3.21

**V**: 29.13 A^3/atom
**Total DFT energy (no corrections)**: -1.788 eV per atom
**D(E_F)**: 7.34 states/eV/f.u.
**Magnetization**: 0.00 Bohr magnetons per cell


2.
Crystalline CaDy2Hg4 at its relaxed geometry, computed with PBE.

a b c (Å): 5.1254 5.1254 25.7431
angles (deg): 90.00 90.00 120.00
With the nearest neighbours (Å) after each atom.
Space group R-3m (No. 166, hexagonal axes)
Unique sites:
Ca (0.0000, 0.0000, 0.0000) [3 per cell]  8 Hg 3.17-3.26
Dy (0.0000, 0.0000, 0.2460) [6 per cell]  8 Hg 3.08-3.37
Hg (0.0000, 0.0000, 0.1265) [6 per cell]  4 Dy 3.08-3.13, 1 Ca 3.26
Hg (0.0000, 0.0000, 0.3770) [6 per cell]  4 Dy 3.17-3.37, 3 Ca 3.17

**V**: 27.89 A^3/atom
**Total DFT energy (no corrections)**: -2.111 eV per atom
**D(E_F)**: 4.76 states/eV/f.u.
**Magnetization**: 0.00 Bohr magnetons per cell


3.
Crystalline Ca2DyHg8 at its relaxed geometry, computed with PBE.

a b c (Å): 16.1342 5.1676 7.7461
angles (deg): 90.00 118.64 90.00
With the nearest neighbours (Å) after each atom.
Space group C2/m (No. 12)
Unique sites:
Ca (0.2094, 0.0000, 0.2091) [4 per cell]  10 Hg 3.17-3.34
Dy (0.0000, 0.5000, 0.5000) [2 per cell]  8 Hg 3.05-3.35
Hg (0.0001, 0.0000, 0.1988) [4 per cell]  7 Hg 3.08-3.23, 2 Ca 3.34
Hg (0.1364, 0.5000, 0.9406) [4 per cell]  4 Hg 3.04-3.38, 1 Dy 3.05, 3 Ca 3.17-3.21
Hg (0.1369, 0.5000, 0.3330) [4 per cell]  4 Hg 3.04-3.37, 1 Dy 3.05, 3 Ca 3.17-3.21
Hg (0.1507, 0.0000, 0.6506) [4 per cell]  8 Hg 3.16-3.50, 2 Ca 3.26, 2 Dy 3.35

**V**: 25.76 A^3/atom
**Total DFT energy (no corrections)**: -1.342 eV per atom
**D(E_F)**: 6.77 states/eV/f.u.
**Magnetization**: 0.00 Bohr magnetons per cell


4.
Crystalline CaDy5Hg3 at its relaxed geometry, computed with PBE.

a b c (Å): 9.0965 9.0965 6.9281
angles (deg): 90.00 90.00 120.00
With the nearest neighbours (Å) after each atom.
Space group P6_3/mcm (No. 193)
Unique sites:
Ca (0.0000, 0.0000, 0.0000) [2 per cell]  2 Ca 3.46, 6 Dy 3.48, 6 Hg 3.52
Dy (0.0000, 0.3321, 0.2500) [6 per cell]  3 Hg 3.01-3.04
Dy (0.3333, 0.6667, 0.0000) [4 per cell]  8 Dy 3.46-3.50, 6 Hg 3.48
Hg (0.0000, 0.3373, 0.7500) [6 per cell]  3 Dy 3.01-3.04

**V**: 27.58 A^3/atom
**Total DFT energy (no corrections)**: -3.194 eV per atom
**D(E_F)**: 5.72 states/eV/f.u.
**Magnetization**: 0.00 Bohr magnetons per cell


5.
Crystalline CaDyHg at its relaxed geometry, computed with PBE.

a b c (Å): 5.1918 5.1918 3.8437
angles (deg): 90.00 90.00 120.00
With the nearest neighbours (Å) after each atom.
Space group P3m1 (No. 156)
Unique sites:
Ca (0.0000, 0.0000, 0.0000) [1 per cell]  3 Hg 3.26, 6 Dy 3.50-3.62
Dy (0.6667, 0.3333, 0.5298) [1 per cell]  3 Hg 3.09
Hg (0.3333, 0.6667, 0.3344) [1 per cell]  3 Dy 3.09, 3 Ca 3.26

**V**: 29.91 A^3/atom
**Total DFT energy (no corrections)**: -2.485 eV per atom
**D(E_F)**: 2.83 states/eV/f.u.
**Magnetization**: 0.00 Bohr magnetons per cell


6.
Crystalline CaDyHg at its relaxed geometry, computed with PBE.

a b c (Å): 3.7332 3.7332 13.0665
angles (deg): 90.00 90.00 90.00
With the nearest neighbours (Å) after each atom.
Space group I4mm (No. 107)
Unique sites:
Ca (0.0000, 0.0000, 0.0000) [2 per cell]  4 Hg 3.32, 1 Dy 3.70
Dy (0.0000, 0.0000, 0.2831) [2 per cell]  4 Hg 3.13
Hg (0.0000, 0.0000, 0.6547) [2 per cell]  4 Dy 3.13, 4 Ca 3.32

**V**: 30.35 A^3/atom
**Total DFT energy (no corrections)**: -2.599 eV per atom
**D(E_F)**: 3.00 states/eV/f.u.
**Magnetization**: 0.01 Bohr magnetons per cell


7.
Crystalline CaDy3Hg5 at its relaxed geometry, computed with PBE.

a b c (Å): 9.1101 9.1101 6.4616
angles (deg): 90.00 90.00 120.00
With the nearest neighbours (Å) after each atom.
Space group P6_3/mcm (No. 193)
Unique sites:
Ca (0.0000, 0.0000, 0.0000) [2 per cell]  6 Hg 3.20, 2 Ca 3.23
Dy (0.0000, 0.3652, 0.2500) [6 per cell]  9 Hg 3.02-3.32
Hg (0.0000, 0.3034, 0.7500) [6 per cell]  5 Dy 3.02-3.28, 2 Ca 3.20
Hg (0.3333, 0.6667, 0.0000) [4 per cell]  8 Hg 3.23-3.57, 6 Dy 3.32

**V**: 25.80 A^3/atom
**Total DFT energy (no corrections)**: -2.327 eV per atom
**D(E_F)**: 6.37 states/eV/f.u.
**Magnetization**: 0.00 Bohr magnetons per cell


8.
Crystalline Ca3DyHg6 at its relaxed geometry, computed with PBE.

a b c (Å): 9.2071 5.2434 11.2011
angles (deg): 90.00 105.94 90.00
With the nearest neighbours (Å) after each atom.
Space group P2_1/m (No. 11)
Unique sites:
Ca (0.0308, 0.2500, 0.3931) [2 per cell]  8 Hg 3.13-3.39
Ca (0.1490, 0.7500, 0.2040) [2 per cell]  8 Hg 3.17-3.26
Ca (0.2675, 0.2500, 0.9983) [2 per cell]  8 Hg 3.12-3.44
Dy (0.4413, 0.2500, 0.6090) [2 per cell]  8 Hg 3.09-3.25
Hg (0.0420, 0.7500, 0.9067) [2 per cell]  7 Ca 3.20-3.33, 3 Hg 3.38-3.57
Hg (0.1505, 0.2500, 0.7000) [2 per cell]  1 Dy 3.12, 5 Ca 3.13-3.31, 2 Hg 3.25
Hg (0.2645, 0.7500, 0.4977) [2 per cell]  3 Dy 3.16-3.25, 4 Ca 3.17-3.39, 1 Hg 3.31
Hg (0.3515, 0.2500, 0.3167) [2 per cell]  3 Dy 3.15-3.21, 4 Ca 3.26-3.44, 1 Hg 3.34
Hg (0.3547, 0.7500, 0.8044) [2 per cell]  8 Hg 3.23-3.38, 1 Ca 3.57
Hg (0.4396, 0.7500, 0.1044) [2 per cell]  1 Dy 3.09, 4 Ca 3.12-3.21, 3 Hg 3.23

**V**: 26.00 A^3/atom
**Total DFT energy (no corrections)**: -1.709 eV per atom
**D(E_F)**: 5.03 states/eV/f.u.
**Magnetization**: 0.00 Bohr magnetons per cell


9.
Crystalline CaDy2Hg7 at its relaxed geometry, computed with PBE.

a b c (Å): 5.0367 5.0367 12.0719
angles (deg): 90.00 90.00 120.00
With the nearest neighbours (Å) after each atom.
Space group P3m1 (No. 156)
Unique sites:
Ca (0.0000, 0.0000, 0.0000) [1 per cell]  9 Hg 3.18-3.51
Dy (0.3333, 0.6667, 0.6534) [1 per cell]  5 Hg 2.90-3.19
Dy (0.6667, 0.3333, 0.4503) [1 per cell]  6 Hg 3.00-3.24
Hg (0.0000, 0.0000, 0.2977) [1 per cell]  7 Hg 3.11-3.33, 3 Dy 3.44
Hg (0.0000, 0.0000, 0.5678) [1 per cell]  6 Dy 3.09-3.24, 1 Hg 3.26
Hg (0.3333, 0.6667, 0.1363) [1 per cell]  5 Hg 2.93-3.06
Hg (0.3333, 0.6667, 0.3894) [1 per cell]  4 Dy 3.00-3.19, 4 Hg 3.06-3.11
Hg (0.3333, 0.6667, 0.8939) [1 per cell]  1 Dy 2.90, 4 Hg 2.93-3.21, 3 Ca 3.18
Hg (0.6667, 0.3333, 0.1629) [1 per cell]  3 Hg 2.93
Hg (0.6667, 0.3333, 0.7807) [1 per cell]  3 Hg 3.21, 3 Dy 3.29

**V**: 26.52 A^3/atom
**Total DFT energy (no corrections)**: -1.623 eV per atom
**D(E_F)**: 5.26 states/eV/f.u.
**Magnetization**: 0.00 Bohr magnetons per cell


10.
Crystalline CaDy2Hg9 at its relaxed geometry, computed with PBE.

a b c (Å): 4.6661 4.6661 13.6590
angles (deg): 90.00 90.00 90.00
With the nearest neighbours (Å) after each atom.
Space group P4/mmm (No. 123)
Unique sites:
Ca (0.0000, 0.0000, 0.0000) [1 per cell]  12 Hg 3.30-3.31
Dy (0.0000, 0.0000, 0.3344) [2 per cell]  12 Hg 3.22-3.30
Hg (0.0000, 0.5000, 0.1715) [4 per cell]  2 Dy 3.22, 8 Hg 3.25-3.31, 2 Ca 3.31
Hg (0.0000, 0.5000, 0.5000) [2 per cell]  8 Hg 3.22-3.30, 4 Dy 3.25
Hg (0.5000, 0.5000, 0.0000) [1 per cell]  4 Ca 3.30, 8 Hg 3.31
Hg (0.5000, 0.5000, 0.3377) [2 per cell]  8 Hg 3.22-3.25, 4 Dy 3.30

**V**: 24.78 A^3/atom
**Total DFT energy (no corrections)**: -1.494 eV per atom
**D(E_F)**: 6.56 states/eV/f.u.
**Magnetization**: 0.00 Bohr magnetons per cell


11.
Crystalline Ca5DyHg6 at its relaxed geometry, computed with PBE.

a b c (Å): 5.3194 15.9332 7.6017
angles (deg): 90.00 90.00 90.00
With the nearest neighbours (Å) after each atom.
Space group Cmmm (No. 65)
Unique sites:
Ca (0.0000, 0.0000, 0.0000) [2 per cell]  8 Hg 3.24-3.31
Ca (0.0000, 0.3324, 0.5000) [4 per cell]  8 Hg 3.24-3.28
Ca (0.0000, 0.3328, 0.0000) [4 per cell]  8 Hg 3.29-3.32
Dy (0.0000, 0.0000, 0.5000) [2 per cell]  8 Hg 3.20-3.23
Hg (0.0000, 0.1634, 0.2543) [8 per cell]  1 Dy 3.20, 7 Ca 3.24-3.32
Hg (0.0000, 0.5000, 0.2591) [4 per cell]  2 Dy 3.23, 6 Ca 3.24-3.31

**V**: 26.85 A^3/atom
**Total DFT energy (no corrections)**: -1.917 eV per atom
**D(E_F)**: 6.73 states/eV/f.u.
**Magnetization**: 0.00 Bohr magnetons per cell


12.
Crystalline CaDy5Hg6 at its relaxed geometry, computed with PBE.

a b c (Å): 5.2736 15.8414 7.4396
angles (deg): 90.00 90.00 90.00
With the nearest neighbours (Å) after each atom.
Space group Cmmm (No. 65)
Unique sites:
Ca (0.0000, 0.0000, 0.0000) [2 per cell]  8 Hg 3.25-3.27
Dy (0.0000, 0.0000, 0.5000) [2 per cell]  8 Hg 3.20-3.24
Dy (0.0000, 0.3343, 0.5000) [4 per cell]  8 Hg 3.19-3.21
Dy (0.0000, 0.3350, 0.0000) [4 per cell]  8 Hg 3.24
Hg (0.0000, 0.1688, 0.2531) [8 per cell]  7 Dy 3.20-3.24, 1 Ca 3.27
Hg (0.0000, 0.5000, 0.2563) [4 per cell]  6 Dy 3.19-3.24, 2 Ca 3.25

**V**: 25.90 A^3/atom
**Total DFT energy (no corrections)**: -2.735 eV per atom
**D(E_F)**: 9.08 states/eV/f.u.
**Magnetization**: 0.00 Bohr magnetons per cell


The records above yield energy of formation values of -37.28; -32.54; -32.80; -30.34; -17.64; -28.65; -38.86; -45.05; -28.06; -32.19; -52.90; -48.21 kJ per mole of atoms, respectively.